Entry 1:
Below is a relaxed structure of La3MnCo, with properties calculated at the PBE level.

Structure (POSCAR):
```
La3MnCo
1.0
5.334 0.000 0.000
0.000 5.334 0.000
0.000 0.000 5.334
La Mn Co
3 1 1
Direct
0.000 0.500 0.000 La
0.500 0.000 0.000 La
0.000 0.000 0.500 La
0.500 0.500 0.500 Mn
0.000 0.000 0.000 Co
```

- Calculated total energy: -5.995 eV/atom
- Total moment: 3.9 Bohr magnetons per cell
- SG: Pm-3m
- E_form: 20.9 kJ/mol of atoms
- Polymorph energy (0 for the lowest one): 0 meV per atom

=====

Entry 2:
Below is a relaxed structure of La2MnCo, with properties calculated at the PBE level.

Structure (POSCAR):
```
La2MnCo
1.0
6.474 0.017 -0.010
3.926 5.148 0.010
-4.895 -3.195 2.781
La Co Mn
2 1 1
Direct
0.025 0.025 0.000 La
0.740 0.240 0.500 La
0.300 0.800 0.500 Co
0.435 0.435 0.000 Mn
```

- Calculated total energy: -6.428 eV/atom
- Total moment: 3.1 Bohr magnetons per cell
- SG: Imm2
- E_form: 10.1 kJ/mol of atoms
- Polymorph energy (0 for the lowest one): 43 meV per atom

=====

Entry 3:
Below is a relaxed structure of LaMnCo, with properties calculated at the PBE level.

Structure (POSCAR):
```
LaMnCo
1.0
5.740 -0.136 0.143
4.873 3.036 0.180
0.867 0.201 3.165
La Mn Co
1 1 1
Direct
0.335 0.335 0.665 La
0.616 0.616 0.384 Mn
0.049 0.049 0.951 Co
```

- Calculated total energy: -6.818 eV/atom
- Total moment: 3.7 Bohr magnetons per cell
- SG: I4mm
- E_form: 24.1 kJ/mol of atoms

=====

Entry 4:
Below is a relaxed structure of LaMnCo, with properties calculated at the PBE level.

Structure (POSCAR):
```
LaMnCo
1.0
4.515 0.000 0.000
2.258 3.910 0.000
2.258 1.303 3.687
Mn Co La
1 1 1
Direct
0.500 0.500 0.500 Mn
0.750 0.750 0.750 Co
0.000 0.000 0.000 La
```

- Calculated total energy: -6.776 eV/atom
- Total moment: 4.6 Bohr magnetons per cell
- SG: F-43m
- E_form: 28.2 kJ/mol of atoms

=====

Entry 5:
Below is a relaxed structure of LaMn2Co2, with properties calculated at the PBE level.

Structure (POSCAR):
```
LaMn2Co2
1.0
4.024 0.000 0.000
0.000 4.024 0.000
2.012 2.012 4.800
La Mn Co
1 2 2
Direct
0.000 0.000 0.000 La
0.750 0.250 0.500 Mn
0.250 0.750 0.500 Mn
0.635 0.635 0.730 Co
0.365 0.365 0.270 Co
```

- Calculated total energy: -7.243 eV/atom
- Total moment: 0.0 Bohr magnetons per cell
- SG: I4/mmm
- E_form: 24.4 kJ/mol of atoms
- Polymorph energy (0 for the lowest one): 71 meV per atom

=====

Entry 6:
Below is a relaxed structure of La2MnCo, with properties calculated at the PBE level.

Structure (POSCAR):
```
La2MnCo
1.0
-1.424 -0.718 7.808
-7.739 -1.145 -1.517
-4.097 -3.955 2.956
Mn La Co
2 4 2
Direct
0.250 0.750 0.500 Mn
0.500 0.500 0.000 Mn
0.375 0.317 0.750 La
0.067 0.625 0.250 La
0.683 0.125 0.250 La
0.875 0.933 0.750 La
0.750 0.250 0.500 Co
0.000 0.000 0.000 Co
```

- Calculated total energy: -6.162 eV/atom
- Total moment: 6.8 Bohr magnetons per cell
- SG: I-42d
- E_form: 35.7 kJ/mol of atoms
- Polymorph energy (0 for the lowest one): 308 meV per atom

=====

Entry 7:
Below is a relaxed structure of La2MnCo, with properties calculated at the PBE level.

Structure (POSCAR):
```
La2MnCo
1.0
8.336 -0.066 -0.039
7.472 3.696 -0.039
7.472 1.716 3.274
La Co Mn
2 1 1
Direct
0.485 0.485 0.485 La
0.015 0.015 0.015 La
0.750 0.750 0.750 Co
0.250 0.250 0.250 Mn
```

- Calculated total energy: -6.233 eV/atom
- Total moment: 3.8 Bohr magnetons per cell
- SG: R-3m
- E_form: 28.9 kJ/mol of atoms
- Polymorph energy (0 for the lowest one): 237 meV per atom

=====

Entry 8:
Below is a relaxed structure of LaMnCo, with properties calculated at the PBE level.

Structure (POSCAR):
```
LaMnCo
1.0
-3.432 1.827 0.424
-0.384 -1.549 3.570
3.722 6.268 3.120
Co La Mn
2 2 2
Direct
0.500 0.000 0.696 Co
0.000 0.500 0.304 Co
0.000 0.500 0.820 La
0.500 0.000 0.180 La
0.500 0.500 0.500 Mn
0.000 0.000 0.500 Mn
```

- Calculated total energy: -7.043 eV/atom
- Total moment: 8.2 Bohr magnetons per cell
- SG: P4/nmm
- E_form: 2.4 kJ/mol of atoms